Record 1
Below is a geometry-optimized TbSm2Tm structure, with properties calculated at the PBE level.

Lattice parameters (Å, degrees): 11.7567 11.7567 11.7567 17.59 17.59 17.59
Positions (direct):
Tb 0.0000 0.0000 0.0000
Sm 0.5828 0.5828 0.5828
Sm 0.7504 0.7504 0.7504
Tm 0.1669 0.1669 0.1669

The calculation puts the calculated formation energy at 16 meV per atom. The symmetry is R3m, No. 160.



Record 2
Below is a geometry-optimized La7RhBr12 structure, with properties calculated at the PBE level.

Lattice parameters (Å, degrees): 9.7253 9.7253 9.7253 106.69 106.69 106.69
Positions (direct):
La 0.0000 0.0000 0.0000
La 0.1866 0.4802 0.3907
La 0.3907 0.1866 0.4802
La 0.4802 0.3907 0.1866
La 0.5198 0.6093 0.8134
La 0.6093 0.8134 0.5198
La 0.8134 0.5198 0.6093
Rh 0.5000 0.5000 0.5000
Br 0.0357 0.1223 0.3329
Br 0.1223 0.3329 0.0357
Br 0.1779 0.5703 0.7146
Br 0.2854 0.8221 0.4297
Br 0.3329 0.0357 0.1223
Br 0.4297 0.2854 0.8221
Br 0.5703 0.7146 0.1779
Br 0.6671 0.9643 0.8777
Br 0.7146 0.1779 0.5703
Br 0.8221 0.4297 0.2854
Br 0.8777 0.6671 0.9643
Br 0.9643 0.8777 0.6671

Its formation energy (no corrections) is -1.7113 eV per atom. The symmetry is R-3, No. 148.



Record 3
Below is a geometry-optimized BaLiNbS4 structure, with properties calculated at the PBE level.

Lattice parameters (Å, degrees): 7.6130 6.9736 8.4273 90.00 111.52 90.00
Positions (direct):
Ba 0.2485 0.2500 0.4748
Ba 0.7515 0.7500 0.5252
Li 0.2142 0.2500 0.0165
Li 0.7858 0.7500 0.9835
Nb 0.2326 0.7500 0.1748
Nb 0.7674 0.2500 0.8252
S 0.0300 0.7500 0.3219
S 0.0662 0.7500 0.8915
S 0.4323 0.0093 0.2464
S 0.4323 0.4907 0.2464
S 0.5677 0.5093 0.7536
S 0.5677 0.9907 0.7536
S 0.9338 0.2500 0.1085
S 0.9700 0.2500 0.6781

Its formation energy (no corrections) is -1.3225 eV per atom. The symmetry is P2_1/m, No. 11.



Record 4
Below is a geometry-optimized Ca2CdGaAg6 structure, with properties calculated at the PBE level.

Lattice parameters (Å, degrees): 7.1472 7.1472 7.1472 60.00 60.00 60.00
Positions (direct):
Ca 0.2500 0.2500 0.2500
Ca 0.7500 0.7500 0.7500
Cd 0.0000 0.0000 0.0000
Ga 0.5000 0.5000 0.5000
Ag 0.2580 0.2580 0.7420
Ag 0.2580 0.7420 0.2580
Ag 0.2580 0.7420 0.7420
Ag 0.7420 0.2580 0.2580
Ag 0.7420 0.2580 0.7420
Ag 0.7420 0.7420 0.2580

The calculation puts the calculated formation energy at 86 meV per atom. The symmetry is Fm-3m, No. 225.



Record 5
Below is a geometry-optimized U2CrC structure, with properties calculated at the PBE level.

Lattice parameters (Å, degrees): 7.9242 7.9242 7.9242 22.50 22.50 22.50
Positions (direct):
U 0.0994 0.0994 0.0994
U 0.9006 0.9006 0.9006
Cr 0.0000 0.0000 0.0000
C 0.5000 0.5000 0.5000

The calculation puts the calculated formation energy at 316 meV per atom. The symmetry is R-3m, No. 166.



Record 6
Below is a geometry-optimized CdTeAu structure, with properties calculated at the PBE level.

Lattice parameters (Å, degrees): 4.4056 4.2619 8.4846 90.00 101.72 90.00
Positions (direct):
Cd 0.0000 0.0000 0.0000
Cd 0.3927 0.0000 0.7366
Te 0.3943 0.5000 0.5065
Te 0.5938 0.0000 0.2290
Au 0.4782 0.5000 0.9952
Au 0.9260 0.5000 0.7464

Its formation energy (no corrections) is -0.1173 eV per atom. The symmetry is Pm, No. 6.



Record 7
Below is a geometry-optimized Rb5Cr2Se6 structure, with properties calculated at the PBE level.

Lattice parameters (Å, degrees): 7.9318 7.9318 17.7647 99.78 99.78 65.80
Positions (direct):
Rb 0.1348 0.8652 0.7500
Rb 0.1853 0.7114 0.0016
Rb 0.2451 0.4364 0.2771
Rb 0.2886 0.8147 0.4984
Rb 0.4364 0.2451 0.7771
Rb 0.5636 0.7549 0.2229
Rb 0.7114 0.1853 0.5016
Rb 0.7549 0.5636 0.7229
Rb 0.8147 0.2886 0.9984
Rb 0.8652 0.1348 0.2500
Cr 0.1319 0.4108 0.5708
Cr 0.4108 0.1319 0.0708
Cr 0.5892 0.8681 0.9292
Cr 0.8681 0.5892 0.4292
Se 0.1003 0.1955 0.6375
Se 0.1399 0.2999 0.4359
Se 0.1955 0.1003 0.1375
Se 0.2999 0.1399 0.9359
Se 0.3867 0.4808 0.6257
Se 0.4808 0.3867 0.1257
Se 0.5192 0.6133 0.8743
Se 0.6133 0.5192 0.3743
Se 0.7001 0.8601 0.0641
Se 0.8045 0.8997 0.8625
Se 0.8601 0.7001 0.5641
Se 0.8997 0.8045 0.3625

Its formation energy (no corrections) is -0.9019 eV per atom. The symmetry is C2/c, No. 15.



Record 8
Below is a geometry-optimized TmCdAgIr structure, with properties calculated at the PBE level.

Lattice parameters (Å, degrees): 4.7871 4.7871 4.7871 60.00 60.00 60.00
Positions (direct):
Tm 0.0000 0.0000 0.0000
Cd 0.5000 0.5000 0.5000
Ag 0.7500 0.7500 0.7500
Ir 0.2500 0.2500 0.2500

The calculation puts the calculated formation energy at -344 meV per atom. The symmetry is F-43m, No. 216.



Record 9
Below is a geometry-optimized AcLa6Tb3 structure, with properties calculated at the PBE level.

Lattice parameters (Å, degrees): 7.2018 7.2018 7.2018 89.87 89.87 89.87
Positions (direct):
Ac 0.0000 0.0000 0.0000
La 0.0000 0.3375 0.6625
La 0.1746 0.8254 0.5000
La 0.3375 0.6624 0.0000
La 0.5000 0.1746 0.8254
La 0.6624 0.0000 0.3375
La 0.8254 0.5000 0.1746
Tb 0.2593 0.2593 0.2593
Tb 0.5000 0.5000 0.5000
Tb 0.7407 0.7407 0.7407

The calculation puts the calculated formation energy at 218 meV per atom. The symmetry is R32, No. 155.



Record 10
Below is a geometry-optimized CsBa2Cd structure, with properties calculated at the PBE level.

Lattice parameters (Å, degrees): 4.3960 4.3960 11.9770 90.00 90.00 90.00
Positions (direct):
Cs 0.0000 0.0000 0.0000
Ba 0.5000 0.5000 0.3346
Ba 0.5000 0.5000 0.6654
Cd 0.0000 0.0000 0.5000

The calculation puts the calculated formation energy at -109 meV per atom. The symmetry is P4/mmm, No. 123.



Record 11
Below is a geometry-optimized TaRh2Au structure, with properties calculated at the PBE level.

Lattice parameters (Å, degrees): 5.3948 5.3948 2.8185 104.38 104.38 117.06
Positions (direct):
Ta 0.0000 0.0000 0.0000
Rh 0.0000 0.5000 0.5000
Rh 0.5000 0.0000 0.5000
Au 0.5000 0.5000 0.0000

The calculation puts the calculated formation energy at -75 meV per atom. The symmetry is C2/m, No. 12.



Record 12
Below is a geometry-optimized UVOs2 structure, with properties calculated at the PBE level.

Lattice parameters (Å, degrees): 9.2716 9.2716 9.2716 17.60 17.60 17.60
Positions (direct):
U 0.0000 0.0000 0.0000
V 0.5000 0.5000 0.5000
Os 0.2395 0.2395 0.2395
Os 0.7605 0.7605 0.7605

The calculation puts the calculated formation energy at 77 meV per atom. The symmetry is R-3m, No. 166.



Record 13
Below is a geometry-optimized Tc2W2Au structure, with properties calculated at the PBE level.

Lattice parameters (Å, degrees): 7.4658 7.4658 2.9661 90.00 90.00 90.00
Positions (direct):
Tc 0.1416 0.3584 0.0000
Tc 0.3584 0.8584 0.0000
Tc 0.6416 0.1416 0.0000
Tc 0.8584 0.6416 0.0000
W 0.1541 0.6541 0.5000
W 0.3459 0.1541 0.5000
W 0.6541 0.8459 0.5000
W 0.8459 0.3459 0.5000
Au 0.0000 0.0000 0.0000
Au 0.5000 0.5000 0.0000

The calculation puts the calculated formation energy at 316 meV per atom. The symmetry is P4/mbm, No. 127.



Record 14
Below is a geometry-optimized Pu5ThTe8 structure, with properties calculated at the PBE level.

Lattice parameters (Å, degrees): 8.1440 8.1440 8.1440 109.45 109.45 109.52
Positions (direct):
Pu 0.0000 0.0000 0.0000
Pu 0.2481 0.6248 0.1254
Pu 0.3752 0.5006 0.6233
Pu 0.4994 0.1227 0.8746
Pu 0.8773 0.7519 0.3767
Th 0.7500 0.2500 0.5000
Te 0.1244 0.7215 0.7491
Te 0.1282 0.2262 0.7505
Te 0.2785 0.0277 0.4029
Te 0.4757 0.3777 0.2495
Te 0.6223 0.8718 0.0980
Te 0.6247 0.8756 0.5971
Te 0.7738 0.5243 0.9020
Te 0.9723 0.3753 0.2509

Its formation energy (no corrections) is -1.1043 eV per atom. The symmetry is I-4, No. 82.



Record 15
Below is a geometry-optimized ScTe2CO structure, with properties calculated at the PBE level.

Lattice parameters (Å, degrees): 5.0707 5.0707 3.9895 90.00 90.00 90.00
Positions (direct):
Sc 0.0000 0.0000 0.0000
Te 0.0000 0.5000 0.5000
Te 0.5000 0.0000 0.5000
C 0.5000 0.5000 0.0000
O 0.0000 0.0000 0.5000

Its formation energy (no corrections) is 0.5537 eV per atom. The symmetry is P4/mmm, No. 123.



Record 16
Below is a geometry-optimized Tb3Ge2 structure, with properties calculated at the PBE level.

Lattice parameters (Å, degrees): 7.4920 7.4920 7.4920 114.89 84.96 131.83
Positions (direct):
Tb 0.1483 0.6368 0.7851
Tb 0.2500 0.2500 0.0000
Tb 0.3517 0.1368 0.4886
Tb 0.6483 0.8632 0.5114
Tb 0.7500 0.7500 0.0000
Tb 0.8517 0.3632 0.2149
Ge 0.1127 0.2763 0.3890
Ge 0.3873 0.7763 0.1636
Ge 0.6127 0.2237 0.8364
Ge 0.8873 0.7237 0.6110

The calculation puts the calculated formation energy at -603 meV per atom. The symmetry is Ibam, No. 72.



Record 17
Below is a geometry-optimized SrPdO3 structure, with properties calculated at the PBE level.

Lattice parameters (Å, degrees): 7.7109 6.3931 7.1812 90.00 117.11 90.00
Positions (direct):
Sr 0.1228 0.2367 0.0688
Sr 0.1228 0.2633 0.5688
Sr 0.8772 0.7367 0.4312
Sr 0.8772 0.7633 0.9312
Pd 0.3202 0.6373 0.4004
Pd 0.3202 0.8627 0.9004
Pd 0.6798 0.1373 0.0996
Pd 0.6798 0.3627 0.5996
O 0.0415 0.5396 0.2531
O 0.0415 0.9604 0.7531
O 0.2651 0.7012 0.6424
O 0.2651 0.7988 0.1424
O 0.3854 0.1724 0.9462
O 0.3854 0.3276 0.4462
O 0.6146 0.6724 0.5538
O 0.6146 0.8276 0.0538
O 0.7349 0.2012 0.8576
O 0.7349 0.2988 0.3576
O 0.9585 0.0396 0.2469
O 0.9585 0.4604 0.7469

Its formation energy (no corrections) is -1.2234 eV per atom. The symmetry is P2_1/c, No. 14.



no.,DOS(E_F) (states/eV per cell),magnetic moment (Bohr magnetons per cell),E (eV per atom)
1,5.6,0.00,-4.619
2,13.4,0.13,-4.807
3,0.0,0.00,-5.668
4,3.9,0.00,-2.419
5,4.3,0.00,-10.040
6,1.3,0.00,-2.562
7,10.5,10.00,-4.363
8,1.3,0.00,-4.619
9,19.5,0.00,-4.538
10,4.1,0.16,-1.513
11,2.8,0.00,-7.534
12,4.6,0.00,-10.639
13,5.9,0.00,-9.668
14,56.0,16.82,-8.548
15,3.1,0.00,-4.806
16,7.3,1.94,-5.229
17,0.6,0.00,-5.573